3
Lattice="-2.617 0.807 1.653 -1.818 -1.565 -2.116 2.690 -4.212 3.221" Properties=species:S:1:pos:R:3 comment="Cd2Ag PBEsol relaxed" e_form_ev_per_atom=-0.040 final_energy_ev_per_atom=-1.941 m_tot_mub_per_fu=0.000 pbc="T T T"
Cd 0.152 -1.476 0.961
Cd -1.897 -3.495 1.797
Ag -2.218 -0.379 -0.232


16
Lattice="-3.893 -2.686 2.411 -2.664 -5.350 -4.995 2.985 -6.191 3.767" Properties=species:S:1:pos:R:3 comment="Cd3Ag5 PBEsol relaxed" e_form_ev_per_atom=0.013 final_energy_ev_per_atom=-2.505 m_tot_mub_per_fu=0.000 pbc="T T T"
Cd -5.071 -6.420 -2.386
Cd -1.927 -8.603 1.627
Cd -1.486 -1.616 -0.198
Cd 0.338 -3.589 2.392
Cd -1.245 -5.289 3.786
Cd -1.645 -5.624 -0.444
Ag -4.228 -4.523 -0.419
Ag -2.329 -3.513 -2.166
Ag -2.362 -3.724 1.587
Ag -1.276 -8.048 4.368
Ag -1.210 -10.503 -0.404
Ag 0.062 -6.468 1.572
Ag -3.425 -6.297 1.977
Ag -2.296 -6.179 -3.185
Ag -0.146 -7.930 -0.794
Ag -3.633 -7.759 -0.389


29
Lattice="-6.137 5.852 -3.389 -3.355 -3.899 7.546 7.680 4.494 2.053" Properties=species:S:1:pos:R:3 comment="Cd24Ag5 PBEsol relaxed" e_form_ev_per_atom=0.042 final_energy_ev_per_atom=-1.520 m_tot_mub_per_fu=0.000 pbc="T T T"
Cd 2.676 3.848 2.750
Cd -0.863 3.066 -0.892
Cd -3.129 4.418 0.464
Cd -4.914 -0.255 3.828
Cd -5.681 2.435 0.812
Cd -0.031 4.923 1.306
Cd -2.434 -0.364 2.210
Cd 3.936 1.489 4.599
Cd 0.189 -0.621 3.244
Cd 0.815 1.959 4.630
Cd -6.243 2.428 3.754
Cd -1.045 5.961 -1.496
Cd 0.618 7.647 0.338
Cd 2.268 0.959 2.209
Cd -2.958 1.473 0.151
Cd 2.767 5.586 0.005
Cd 1.739 2.811 0.133
Cd 0.892 -0.826 6.114
Cd 2.348 1.584 7.137
Cd -3.385 2.372 2.976
Cd -2.292 5.119 3.217
Cd 0.332 4.861 4.251
Cd -1.763 3.268 5.294
Cd -1.960 0.321 5.058
Ag -4.203 4.008 -2.321
Ag 5.260 3.078 1.406
Ag -0.571 2.031 1.956
Ag -2.298 -2.670 5.168
Ag 0.000 0.000 0.000


9
Lattice="-2.804 0.063 1.158 -1.457 -7.262 -3.135 3.072 0.641 7.406" Properties=species:S:1:pos:R:3 comment="Cd2Ag PBEsol relaxed" e_form_ev_per_atom=-0.046 final_energy_ev_per_atom=-1.947 m_tot_mub_per_fu=0.000 pbc="T T T"
Cd -0.435 -2.171 -0.937
Cd 1.133 -4.643 2.994
Cd 0.918 0.191 2.213
Cd -2.323 -4.558 -1.403
Cd -0.807 -2.406 2.151
Cd 0.540 0.436 5.259
Ag 0.053 -4.628 0.378
Ag -1.402 0.031 0.579
Ag 1.563 -1.994 3.892


4
Lattice="2.953 0.000 0.000 0.000 4.789 0.000 0.000 0.000 5.112" Properties=species:S:1:pos:R:3 comment="CdAg PBEsol relaxed" e_form_ev_per_atom=-0.051 final_energy_ev_per_atom=-2.305 m_tot_mub_per_fu=0.000 pbc="T T T"
Cd 0.000 2.395 4.624
Cd 1.476 0.000 0.488
Ag 1.476 2.395 2.120
Ag 0.000 0.000 2.992


2
Lattice="-3.452 -2.666 0.152 0.080 -3.799 -2.147 0.237 -3.753 2.214" Properties=species:S:1:pos:R:3 comment="CdAg PBEsol relaxed" e_form_ev_per_atom=0.607 final_energy_ev_per_atom=-1.647 m_tot_mub_per_fu=0.000 pbc="T T T"
Ag 0.000 0.000 0.000
Cd -2.351 -7.664 0.164